## Nd4Er3ThSe8 (PBE)

Data for Nd4Er3ThSe8 after structural relaxation.

**Symmetry**: R-3m
**Formation energy without anion corrections**: -1.741 eV per atom
**Calculated density**: 7.925 g/cm³
**Magnetization**: 0.00 μB/f.u.
**V**: 25.44 Å³/atom

Cell and atoms, written as CIF:
```
data_Nd4Er3ThSe8
_chemical_formula_sum 'Nd4 Er3 Th1 Se8'
_cell_length_a 8.276
_cell_length_b 8.362
_cell_length_c 8.276
_cell_angle_alpha 119.66
_cell_angle_beta 120.00
_cell_angle_gamma 90.00
_symmetry_space_group_name_H-M 'P 1'
_symmetry_Int_Tables_number 1
_symmetry_space_group_name_Hall 'P 1'
loop_
_atom_site_label
_atom_site_type_symbol
_atom_site_fract_x
_atom_site_fract_y
_atom_site_fract_z
_atom_site_occupancy
Er1 Er 0.500 0.500 0.000 1
Er2 Er 0.500 0.500 0.500 1
Er3 Er 0.000 0.500 0.500 1
Se1 Se 0.256 0.269 0.512 1
Se2 Se 0.250 0.737 0.987 1
Se3 Se 0.750 0.263 0.501 1
Se4 Se 0.744 0.731 0.488 1
Se5 Se 0.250 0.737 0.499 1
Se6 Se 0.738 0.737 0.987 1
Se7 Se 0.262 0.263 0.013 1
Se8 Se 0.750 0.263 0.013 1
Nd1 Nd 0.500 0.000 0.000 1
Nd2 Nd 0.000 0.000 0.000 1
Nd3 Nd 0.000 0.000 0.500 1
Nd4 Nd 0.500 0.000 0.500 1
Th1 Th 0.000 0.500 0.000 1
```

=====

## Nd3Er2ThSe6 (PBE)

Data for Nd3Er2ThSe6 after structural relaxation.

**Symmetry**: C2/m
**Formation energy without anion corrections**: -1.737 eV per atom
**Calculated density**: 7.971 g/cm³
**Magnetization**: 0.00 μB/f.u.
**V**: 25.57 Å³/atom

Cell and atoms, written as CIF:
```
data_Nd3Er2ThSe6
_chemical_formula_sum 'Nd3 Er2 Th1 Se6'
_cell_length_a 4.128
_cell_length_b 8.411
_cell_length_c 9.287
_cell_angle_alpha 102.24
_cell_angle_beta 102.84
_cell_angle_gamma 90.00
_symmetry_space_group_name_H-M 'P 1'
_symmetry_Int_Tables_number 1
_symmetry_space_group_name_Hall 'P 1'
loop_
_atom_site_label
_atom_site_type_symbol
_atom_site_fract_x
_atom_site_fract_y
_atom_site_fract_z
_atom_site_occupancy
Er1 Er 0.834 0.669 0.669 1
Er2 Er 0.166 0.331 0.331 1
Th1 Th 0.500 0.000 0.000 1
Nd1 Nd 0.500 0.500 0.000 1
Nd2 Nd 0.840 0.166 0.680 1
Nd3 Nd 0.160 0.834 0.320 1
Se1 Se 0.329 0.425 0.657 1
Se2 Se 0.670 0.099 0.340 1
Se3 Se 0.671 0.575 0.343 1
Se4 Se 0.993 0.745 0.986 1
Se5 Se 0.007 0.255 0.014 1
Se6 Se 0.330 0.901 0.660 1
```

=====

## Nd2ErThSe4 (PBE)

Data for Nd2ErThSe4 after structural relaxation.

**Symmetry**: P2/m
**Formation energy without anion corrections**: -1.717 eV per atom
**Calculated density**: 8.074 g/cm³
**Magnetization**: 0.00 μB/f.u.
**V**: 25.80 Å³/atom

Cell and atoms, written as CIF:
```
data_Nd2ErThSe4
_chemical_formula_sum 'Nd2 Er1 Th1 Se4'
_cell_length_a 4.138
_cell_length_b 7.307
_cell_length_c 7.220
_cell_angle_alpha 109.03
_cell_angle_beta 90.00
_cell_angle_gamma 90.00
_symmetry_space_group_name_H-M 'P 1'
_symmetry_Int_Tables_number 1
_symmetry_space_group_name_Hall 'P 1'
loop_
_atom_site_label
_atom_site_type_symbol
_atom_site_fract_x
_atom_site_fract_y
_atom_site_fract_z
_atom_site_occupancy
Er1 Er 0.000 0.000 0.000 1
Nd1 Nd 0.000 0.500 0.500 1
Nd2 Nd 0.500 0.000 0.500 1
Se1 Se 0.500 0.762 0.763 1
Se2 Se 0.500 0.238 0.237 1
Se3 Se 0.000 0.757 0.244 1
Se4 Se 0.000 0.243 0.756 1
Th1 Th 0.500 0.500 0.000 1
```

=====

## Nd2ErTl3Se6 (PBE)

Data for Nd2ErTl3Se6 after structural relaxation.

**Symmetry**: C2/m
**Formation energy without anion corrections**: -1.377 eV per atom
**Calculated density**: 6.968 g/cm³
**Magnetization**: 0.00 μB/f.u.
**V**: 30.64 Å³/atom

Cell and atoms, written as CIF:
```
data_Nd2ErTl3Se6
_chemical_formula_sum 'Nd2 Er1 Tl3 Se6'
_cell_length_a 7.395
_cell_length_b 7.395
_cell_length_c 8.142
_cell_angle_alpha 98.71
_cell_angle_beta 98.71
_cell_angle_gamma 119.98
_symmetry_space_group_name_H-M 'P 1'
_symmetry_Int_Tables_number 1
_symmetry_space_group_name_Hall 'P 1'
loop_
_atom_site_label
_atom_site_type_symbol
_atom_site_fract_x
_atom_site_fract_y
_atom_site_fract_z
_atom_site_occupancy
Se1 Se 0.931 0.608 0.793 1
Se2 Se 0.253 0.253 0.790 1
Se3 Se 0.608 0.931 0.793 1
Se4 Se 0.747 0.747 0.210 1
Se5 Se 0.392 0.069 0.207 1
Se6 Se 0.069 0.392 0.207 1
Er1 Er 0.000 0.000 0.000 1
Nd1 Nd 0.333 0.667 0.000 1
Nd2 Nd 0.667 0.333 0.000 1
Tl1 Tl 0.500 0.500 0.500 1
Tl2 Tl 0.169 0.831 0.500 1
Tl3 Tl 0.831 0.169 0.500 1
```

=====

Q: Which of these has the highest V?
A: Nd2ErTl3Se6

=====

Q: Among the records above, which one has the lowest V?
A: Nd4Er3ThSe8

=====

Q: The highest formation energy without anion corrections belongs to which entry?
A: Nd2ErTl3Se6